[1]
Tb2Pm13: relaxed, PBE.

For the calculated density, the calculation gives 6.984 Mg/m³. The value obtained for the excess energy over the best structure of this formula in the dataset is 0.0877 eV per atom. The calculation puts the total DFT energy (no corrections) at -68.838 eV/f.u. The energy relative to the elements is 0.145 eV per atom. The calculation puts the spin magnetization at 0.0 μB per formula unit.

The space group is R-3m (No. 166, hexagonal axes) and the conventional cell measures 7.1768, 7.1768 and 35.2245 Å, with angles of 90.00, 90.00 and 120.00 degrees. The distinct sites, in fractional coordinates, are Tb at (0.0000, 0.0000, 0.2062), Pm at (0.0000, 0.0000, 0.0000), Pm at (0.0018, 0.5009, 0.7904) and Pm at (0.0025, 0.5012, 0.9550).

***

[2]
Tb5Pm2: relaxed, PBE.

For the calculated density, the calculation gives 7.815 Mg/m³. The value obtained for the excess energy over the best structure of this formula in the dataset is 0.1231 eV per atom. The calculation puts the total DFT energy (no corrections) at -31.658 eV/f.u. The energy relative to the elements is 0.142 eV per atom. The calculation puts the spin magnetization at 0.0 μB per formula unit.

The space group is R-3m (No. 166, hexagonal axes) and the conventional cell measures 5.6910, 5.6910 and 24.6515 Å, with angles of 90.00, 90.00 and 120.00 degrees. The distinct sites, in fractional coordinates, are Tb at (0.0000, 0.0000, 0.0000), Tb at (0.0000, 0.0000, 0.2759), Tb at (0.0000, 0.0000, 0.4166) and Pm at (0.0000, 0.0000, 0.1363).